Version one
PuP2O6: relaxed, PBE.

Lattice parameters (Å, degrees): 6.896 6.896 6.896 48.58 48.58 48.58
Positions (direct):
Pu (0.000, 0.000, 0.000)
P (0.275, 0.275, 0.275)
P (0.392, 0.392, 0.392)
O (0.100, 0.561, 0.103)
O (0.103, 0.100, 0.561)
O (0.258, 0.261, 0.718)
O (0.261, 0.718, 0.258)
O (0.561, 0.103, 0.100)
O (0.718, 0.258, 0.261)

mass density: 3.9 g/cm³



Version two
PuP2O6: relaxed, PBE.

Lattice parameters (Å, degrees): 8.670 8.670 4.588 105.29 105.29 92.27
Positions (direct):
Pu (0.249, 0.751, 0.750)
Pu (0.751, 0.249, 0.250)
P (0.173, 0.328, 0.705)
P (0.328, 0.173, 0.205)
P (0.672, 0.827, 0.795)
P (0.827, 0.672, 0.295)
O (0.001, 0.731, 0.358)
O (0.215, 0.287, 0.371)
O (0.230, 0.503, 0.875)
O (0.269, 0.999, 0.142)
O (0.287, 0.215, 0.871)
O (0.497, 0.770, 0.625)
O (0.503, 0.230, 0.375)
O (0.713, 0.785, 0.129)
O (0.731, 0.001, 0.858)
O (0.770, 0.497, 0.125)
O (0.785, 0.713, 0.629)
O (0.999, 0.269, 0.642)

mass density: 4.2 g/cm³



Least stable structure: version two



Version one
PuPO: relaxed, PBE.

Lattice parameters (Å, degrees): 6.599 6.599 3.993 90.00 90.00 146.23
Positions (direct):
Pu (0.152, 0.848, 0.750)
Pu (0.848, 0.152, 0.250)
P (0.460, 0.540, 0.750)
P (0.540, 0.460, 0.250)
O (0.250, 0.750, 0.250)
O (0.750, 0.250, 0.750)

mass density: 10.0 g/cm³



Version two
PuPO: relaxed, PBE.

Lattice parameters (Å, degrees): 3.778 3.778 4.045 90.00 90.00 120.00
Positions (direct):
Pu (0.000, 0.000, 0.000)
P (0.667, 0.333, 0.500)
O (0.333, 0.667, 0.000)

mass density: 9.7 g/cm³



Least stable structure: version two



Version one
PuPO6: relaxed, PBE.

Lattice parameters (Å, degrees): 5.221 5.221 5.221 58.60 58.60 58.60
Positions (direct):
Pu (0.000, 0.000, 0.000)
P (0.500, 0.500, 0.500)
O (0.196, 0.726, 0.350)
O (0.274, 0.650, 0.804)
O (0.350, 0.196, 0.726)
O (0.650, 0.804, 0.274)
O (0.726, 0.350, 0.196)
O (0.804, 0.274, 0.650)

mass density: 6.3 g/cm³



Version two
PuPO6: relaxed, PBE.

Lattice parameters (Å, degrees): 5.383 5.472 5.553 78.49 61.67 63.46
Positions (direct):
Pu (0.000, 0.000, 0.000)
P (0.819, 0.649, 0.654)
O (0.151, 0.160, 0.122)
O (0.463, 0.752, 0.741)
O (0.599, 0.205, 0.221)
O (0.851, 0.804, 0.840)
O (0.953, 0.342, 0.701)
O (0.981, 0.713, 0.353)

mass density: 4.8 g/cm³



Least stable structure: version one



Version one
Rb3PO4: relaxed, PBE.

Lattice parameters (Å, degrees): 6.090 6.090 6.090 119.77 92.77 117.08
Positions (direct):
Rb (0.000, 0.000, 0.000)
Rb (0.259, 0.499, 0.760)
Rb (0.739, 0.499, 0.240)
P (0.449, 0.949, 0.500)
O (0.306, 0.014, 0.708)
O (0.306, 0.597, 0.292)
O (0.435, 0.089, 0.346)
O (0.742, 0.089, 0.654)

mass density: 3.6 g/cm³



Version two
Rb3PO4: relaxed, PBE.

Lattice parameters (Å, degrees): 11.850 8.582 6.270 90.00 90.00 90.00
Positions (direct):
Rb (0.071, 0.250, 0.137)
Rb (0.145, 0.009, 0.690)
Rb (0.145, 0.491, 0.690)
Rb (0.355, 0.509, 0.190)
Rb (0.355, 0.991, 0.190)
Rb (0.429, 0.750, 0.637)
Rb (0.571, 0.250, 0.363)
Rb (0.645, 0.009, 0.810)
Rb (0.645, 0.491, 0.810)
Rb (0.855, 0.509, 0.310)
Rb (0.855, 0.991, 0.310)
Rb (0.929, 0.750, 0.863)
P (0.115, 0.750, 0.281)
P (0.385, 0.250, 0.781)
P (0.615, 0.750, 0.219)
P (0.885, 0.250, 0.719)
O (0.013, 0.750, 0.442)
O (0.109, 0.600, 0.139)
O (0.109, 0.900, 0.139)
O (0.228, 0.750, 0.413)
O (0.272, 0.250, 0.913)
O (0.391, 0.100, 0.639)
O (0.391, 0.400, 0.639)
O (0.487, 0.250, 0.942)
O (0.513, 0.750, 0.058)
O (0.609, 0.600, 0.361)
O (0.609, 0.900, 0.361)
O (0.728, 0.750, 0.087)
O (0.772, 0.250, 0.587)
O (0.891, 0.100, 0.861)
O (0.891, 0.400, 0.861)
O (0.987, 0.250, 0.558)

mass density: 3.7 g/cm³



Least stable structure: version one



Version one
Rb2PO4: relaxed, PBE.

Lattice parameters (Å, degrees): 6.224 6.214 8.205 90.00 102.59 90.00
Positions (direct):
Rb (0.209, 0.250, 0.021)
Rb (0.276, 0.250, 0.534)
Rb (0.724, 0.750, 0.466)
Rb (0.791, 0.750, 0.979)
P (0.226, 0.750, 0.776)
P (0.774, 0.250, 0.224)
O (0.081, 0.546, 0.732)
O (0.081, 0.954, 0.732)
O (0.318, 0.750, 0.968)
O (0.416, 0.750, 0.681)
O (0.584, 0.250, 0.319)
O (0.682, 0.250, 0.032)
O (0.919, 0.046, 0.268)
O (0.919, 0.454, 0.268)

mass density: 2.9 g/cm³



Version two
Rb2PO4: relaxed, PBE.

Lattice parameters (Å, degrees): 8.687 7.949 7.922 66.37 56.97 56.67
Positions (direct):
Rb (0.237, 0.763, 0.237)
Rb (0.242, 0.242, 0.758)
Rb (0.758, 0.758, 0.242)
Rb (0.763, 0.237, 0.763)
P (0.250, 0.250, 0.250)
P (0.750, 0.750, 0.750)
O (0.161, 0.485, 0.192)
O (0.162, 0.192, 0.485)
O (0.192, 0.162, 0.161)
O (0.485, 0.161, 0.162)
O (0.515, 0.839, 0.838)
O (0.808, 0.838, 0.839)
O (0.838, 0.808, 0.515)
O (0.839, 0.515, 0.808)

mass density: 2.3 g/cm³



Least stable structure: version two



Version one
RbRePO2: relaxed, PBE.

Lattice parameters (Å, degrees): 3.987 3.987 6.675 90.00 90.00 90.00
Positions (direct):
Rb (0.000, 0.000, 0.000)
Re (0.500, 0.500, 0.500)
P (0.000, 0.000, 0.500)
O (0.000, 0.500, 0.000)
O (0.500, 0.000, 0.000)

mass density: 5.2 g/cm³



Version two
RbRePO2: relaxed, PBE.

Lattice parameters (Å, degrees): 4.072 4.072 4.725 90.00 90.00 90.00
Positions (direct):
Rb (0.000, 0.000, 0.000)
Re (0.500, 0.500, 0.500)
P (0.500, 0.500, 0.000)
O (0.000, 0.500, 0.500)
O (0.500, 0.000, 0.500)

mass density: 7.1 g/cm³



Least stable structure: version one



Version one
RbP2RhO: relaxed, PBE.

Lattice parameters (Å, degrees): 4.512 4.512 5.003 90.00 90.00 90.00
Positions (direct):
Rb (0.000, 0.000, 0.000)
P (0.000, 0.500, 0.500)
P (0.500, 0.000, 0.500)
Rh (0.500, 0.500, 0.500)
O (0.500, 0.500, 0.000)

mass density: 4.3 g/cm³



Version two
RbP2RhO: relaxed, PBE.

Lattice parameters (Å, degrees): 5.206 5.206 4.078 90.00 90.00 90.00
Positions (direct):
Rb (0.000, 0.000, 0.000)
P (0.000, 0.500, 0.000)
P (0.500, 0.000, 0.000)
Rh (0.500, 0.500, 0.500)
O (0.000, 0.000, 0.500)

mass density: 4.0 g/cm³



Least stable structure: version two



Version one
RbPRuO2: relaxed, PBE.

Lattice parameters (Å, degrees): 3.951 3.951 7.039 90.00 90.00 90.00
Positions (direct):
Rb (0.000, 0.000, 0.000)
P (0.000, 0.000, 0.500)
Ru (0.500, 0.500, 0.500)
O (0.000, 0.500, 0.000)
O (0.500, 0.000, 0.000)

mass density: 3.8 g/cm³



Version two
RbPRuO2: relaxed, PBE.

Lattice parameters (Å, degrees): 4.169 4.169 4.565 90.00 90.00 90.00
Positions (direct):
Rb (0.000, 0.000, 0.000)
P (0.500, 0.500, 0.000)
Ru (0.500, 0.500, 0.500)
O (0.000, 0.500, 0.500)
O (0.500, 0.000, 0.500)

mass density: 5.2 g/cm³



Least stable structure: version one